(1)
La2TaMoBr: optimized geometry, GGA-PBEsol.

Results
DOS at the Fermi energy ... 6.40 states/eV per cell
Mass density ... 7.58 g/cm3
Formation energy without anion corrections ... 4.7 eV per formula unit
VASP energy ... -32.19 eV for the cell shown

```
La2TaMoBr
1.0
5.5249 0.0000 0.0000
0.0000 5.5249 0.0000
0.0000 0.0000 4.5566
La Ta Mo Br
2 1 1 1
Cartesian
0.0000 2.7625 0.0000
2.7625 0.0000 0.0000
0.0000 0.0000 2.2783
2.7625 2.7625 2.2783
2.7625 2.7625 0.0000
```

=====

(2)
LaTcMo2Br: optimized geometry, GGA-PBEsol.

Results
DOS at the Fermi energy ... 8.18 states/eV per cell
Mass density ... 7.60 g/cm3
Formation energy without anion corrections ... 7.9 eV per formula unit
VASP energy ... -34.09 eV for the cell shown

```
LaTcMo2Br
1.0
4.5495 0.0000 0.0000
0.0000 4.5495 0.0000
0.0000 0.0000 5.3694
La Tc Mo Br
1 1 2 1
Cartesian
0.0000 0.0000 0.0000
2.2747 2.2747 0.0000
0.0000 2.2747 2.6847
2.2747 0.0000 2.6847
0.0000 0.0000 2.6847
```

=====

(3)
LaBrNO2: optimized geometry, GGA-PBEsol.

Results
DOS at the Fermi energy ... 3.31 states/eV per cell
Mass density ... 4.50 g/cm3
Formation energy without anion corrections ... -0.3 eV per formula unit
VASP energy ... -26.58 eV for the cell shown

```
LaBrNO2
1.0
4.1625 0.0000 0.0000
0.0000 4.1625 0.0000
0.0000 0.0000 5.6421
La Br N O
1 1 1 2
Cartesian
0.0000 0.0000 0.0000
2.0813 2.0813 2.8210
0.0000 0.0000 2.8210
0.0000 2.0813 0.0000
2.0813 0.0000 0.0000
```

=====

(4)
LaSBrN2: optimized geometry, GGA-PBEsol.

Results
DOS at the Fermi energy ... 3.39 states/eV per cell
Mass density ... 4.43 g/cm3
Formation energy without anion corrections ... 4.4 eV per formula unit
VASP energy ... -24.26 eV for the cell shown

```
LaSBrN2
1.0
4.0843 0.0000 0.0000
0.0000 4.0843 0.0000
0.0000 0.0000 6.2608
La S Br N
1 1 1 2
Cartesian
0.0000 0.0000 0.0000
0.0000 0.0000 3.1304
2.0422 2.0422 3.1304
0.0000 2.0422 0.0000
2.0422 0.0000 0.0000
```

=====

(5)
LaSe2BrN: optimized geometry, GGA-PBEsol.

Results
DOS at the Fermi energy ... 6.92 states/eV per cell
Mass density ... 4.38 g/cm3
Formation energy without anion corrections ... 2.0 eV per formula unit
VASP energy ... -21.40 eV for the cell shown

```
LaSe2BrN
1.0
5.9973 0.0000 0.0000
0.0000 5.9973 0.0000
0.0000 0.0000 4.1155
La Se Br N
1 2 1 1
Cartesian
0.0000 0.0000 0.0000
0.0000 2.9987 0.0000
2.9987 0.0000 0.0000
2.9987 2.9987 2.0578
0.0000 0.0000 2.0578
```

=====

(6)
NaLa3Br: optimized geometry, GGA-PBEsol.

Results
DOS at the Fermi energy ... 6.44 states/eV per cell
Mass density ... 4.58 g/cm3
Formation energy without anion corrections ... 3.0 eV per formula unit
VASP energy ... -16.29 eV for the cell shown

```
NaLa3Br
1.0
5.7339 0.0000 0.0000
0.0000 5.7339 0.0000
0.0000 0.0000 5.7339
Na La Br
1 3 1
Cartesian
0.0000 0.0000 0.0000
0.0000 0.0000 2.8670
0.0000 2.8670 0.0000
2.8670 0.0000 0.0000
2.8670 2.8670 2.8670
```

=====

(7)
LaNiBr3: optimized geometry, GGA-PBEsol.

Results
DOS at the Fermi energy ... 14.66 states/eV per cell
Mass density ... 3.79 g/cm3
Formation energy without anion corrections ... -2.1 eV per formula unit
VASP energy ... -19.21 eV for the cell shown

```
LaNiBr3
1.0
5.7660 0.0000 0.0000
0.0000 5.7660 0.0000
0.0000 0.0000 5.7660
La Ni Br
1 1 3
Cartesian
0.0000 0.0000 0.0000
2.8830 2.8830 2.8830
0.0000 0.0000 2.8830
0.0000 2.8830 0.0000
2.8830 0.0000 0.0000
```

=====

(8)
LaBrO2: optimized geometry, GGA-PBEsol.

Results
DOS at the Fermi energy ... 0.00 states/eV per cell
Mass density ... 5.30 g/cm3
Formation energy without anion corrections ... -8.6 eV per formula unit
VASP energy ... -79.04 eV for the cell shown

```
LaBrO2
1.0
3.8974 0.0000 0.0000
-1.9487 3.3753 0.0000
0.0000 0.0000 17.9134
La Br O
3 3 6
Cartesian
0.0000 0.0000 0.0000
0.0000 2.2502 11.9423
1.9487 1.1251 5.9711
0.0000 0.0000 8.9567
0.0000 2.2502 2.9856
1.9487 1.1251 14.9278
0.0000 0.0000 6.8900
0.0000 0.0000 11.0234
0.0000 2.2502 0.9189
0.0000 2.2502 5.0522
1.9487 1.1251 12.8611
1.9487 1.1251 16.9945
```

=====

(9)
La2BrO2: optimized geometry, GGA-PBEsol.

Results
DOS at the Fermi energy ... 2.01 states/eV per cell
Mass density ... 6.12 g/cm3
Formation energy without anion corrections ... -14.4 eV per formula unit
VASP energy ... -74.89 eV for the cell shown

```
La2BrO2
1.0
4.1527 0.0000 0.0000
0.0000 4.1527 0.0000
0.0000 0.0000 12.2641
La Br O
4 2 4
Cartesian
0.0000 0.0000 1.9251
0.0000 0.0000 10.3390
2.0763 2.0763 4.2069
2.0763 2.0763 8.0572
0.0000 0.0000 6.1321
2.0763 2.0763 0.0000
0.0000 2.0763 3.0660
0.0000 2.0763 9.1981
2.0763 0.0000 3.0660
2.0763 0.0000 9.1981
```

=====

(10)
LaRhBrO2: optimized geometry, GGA-PBEsol.

Results
DOS at the Fermi energy ... 3.39 states/eV per cell
Mass density ... 6.72 g/cm3
Formation energy without anion corrections ... -4.8 eV per formula unit
VASP energy ... -30.65 eV for the cell shown

```
LaRhBrO2
1.0
4.0254 0.0000 0.0000
0.0000 4.0254 0.0000
0.0000 0.0000 5.3979
La Rh Br O
1 1 1 2
Cartesian
0.0000 0.0000 0.0000
0.0000 0.0000 2.6989
2.0127 2.0127 0.0000
0.0000 2.0127 2.6989
2.0127 0.0000 2.6989
```

=====

(11)
LaOs2Br: optimized geometry, GGA-PBEsol.

Results
DOS at the Fermi energy ... 6.66 states/eV per cell
Mass density ... 13.33 g/cm3
Formation energy without anion corrections ... 3.7 eV per formula unit
VASP energy ... -55.87 eV for the cell shown

```
LaOs2Br
1.0
4.0838 0.0000 0.0000
0.0000 4.0838 0.0000
0.0000 0.0000 8.9525
La Os Br
2 4 2
Cartesian
0.0000 0.0000 0.0000
2.0419 2.0419 4.4762
0.0000 0.0000 4.4762
0.0000 2.0419 2.2381
2.0419 0.0000 6.7143
2.0419 2.0419 0.0000
0.0000 2.0419 6.7143
2.0419 0.0000 2.2381
```

=====

(12)
LaOs2Br: optimized geometry, GGA-PBEsol.

Results
DOS at the Fermi energy ... 2.50 states/eV per cell
Mass density ... 11.30 g/cm3
Formation energy without anion corrections ... 3.1 eV per formula unit
VASP energy ... -28.57 eV for the cell shown

```
LaOs2Br
1.0
3.1626 0.0000 0.0000
0.0000 4.8019 0.0000
0.0000 0.0000 5.7967
La Os Br
1 2 1
Cartesian
0.0000 0.0000 0.0000
1.5813 2.4009 1.1185
1.5813 2.4009 4.6782
0.0000 0.0000 2.8983
```